# 1
A geometry-optimized Na2FeSeO4 structure. Source: Alexandria via LeMat-Bulk, functional PBE with a Hubbard U.

Cell: 5.2297 5.2297 5.2297 Å, 111.65 111.65 105.19°
Last column: nearest neighbours and their distance in Å.
Fractional coordinates of all 8 atoms:
Na  0.0000  0.0000  0.0000  4 O 2.48
Na  0.7500  0.2500  0.5000  4 O 2.36
Fe  0.5000  0.5000  0.0000  4 O 1.92
Se  0.2500  0.7500  0.5000  4 O 2.03
O  0.1526  0.5118  0.0420  1 Fe 1.92, 1 Se 2.03
O  0.4699  0.1106  0.9580  1 Fe 1.92, 1 Se 2.03
O  0.4882  0.5301  0.6407  1 Fe 1.92, 1 Se 2.03
O  0.8894  0.8474  0.3593  1 Fe 1.92, 1 Se 2.03

---

# 2
A geometry-optimized NaFeSe2O8 structure. Source: Alexandria via LeMat-Bulk, functional PBE with a Hubbard U.

Cell: 5.0454 5.0454 7.3519 Å, 90.69 90.69 66.25°
Last column: nearest neighbours and their distance in Å.
Fractional coordinates of all 12 atoms:
Na  0.0000  0.0000  0.0000  6 O 2.42-2.59
Fe  0.0000  0.0000  0.5000  6 O 1.99-2.06
Se  0.3576  0.3576  0.7217  4 O 1.63-1.70
Se  0.6424  0.6424  0.2783  4 O 1.63-1.70
O  0.2279  0.7232  0.7037  1 Se 1.70
O  0.2332  0.2332  0.5416  1 Se 1.68
O  0.2768  0.2768  0.9221  1 Se 1.63
O  0.2768  0.7721  0.2963  1 Se 1.70
O  0.7232  0.2279  0.7037  1 Se 1.70
O  0.7232  0.7232  0.0779  1 Se 1.63
O  0.7668  0.7668  0.4584  1 Se 1.68
O  0.7721  0.2768  0.2963  1 Se 1.70

Output
- E above lowest polymorph: 0 kJ/mol of formula units

---

# 3
A geometry-optimized NaFeSe2O8 structure. Source: Alexandria via LeMat-Bulk, functional PBE with a Hubbard U.

Cell: 8.5238 8.5238 8.5238 Å, 33.30 33.30 33.30°
Last column: nearest neighbours and their distance in Å.
Fractional coordinates of all 12 atoms:
Na  0.0000  0.0000  0.0000  6 O 2.90
Fe  0.5000  0.5000  0.5000  6 O 1.96
Se  0.2367  0.2367  0.2367  4 O 1.65-1.69
Se  0.7633  0.7633  0.7633  4 O 1.65-1.69
O  0.1241  0.7658  0.4648  1 Se 1.69
O  0.2342  0.5352  0.8759  1 Se 1.69
O  0.3049  0.3049  0.3049  1 Se 1.65
O  0.4648  0.1241  0.7658  1 Se 1.69
O  0.5352  0.8759  0.2342  1 Se 1.69
O  0.6951  0.6951  0.6951  1 Se 1.65
O  0.7658  0.4648  0.1241  1 Se 1.69
O  0.8759  0.2342  0.5352  1 Se 1.69

Output
- E above lowest polymorph: 225 kJ/mol of formula units

---

# 4
A geometry-optimized NaFe2Si4O12 structure. Source: Alexandria via LeMat-Bulk, functional PBE with a Hubbard U.

Cell: 6.5949 6.5949 5.3642 Å, 103.32 103.32 84.23°
Last column: nearest neighbours and their distance in Å.
Fractional coordinates of all 19 atoms:
Na  0.0000  0.0000  0.0000  6 O 2.40-2.43
Fe  0.5989  0.4011  0.0000  4 O 1.92-2.04
Fe  0.8005  0.1995  0.5000  6 O 1.96-2.08
Si  0.0841  0.5010  0.9882  4 O 1.62-1.66
Si  0.3248  0.0906  0.5161  4 O 1.63-1.65
Si  0.4990  0.9159  0.0118  4 O 1.62-1.66
Si  0.9094  0.6752  0.4839  4 O 1.63-1.65
O  0.0526  0.6561  0.2656  2 Si 1.64
O  0.0549  0.6478  0.7711  2 Si 1.65
O  0.0874  0.1896  0.4529  1 Si 1.63
O  0.3157  0.3903  0.0309  1 Si 1.62
O  0.3439  0.9474  0.7344  2 Si 1.64
O  0.3522  0.9451  0.2289  2 Si 1.65
O  0.5163  0.2532  0.6165  1 Si 1.65
O  0.6097  0.6843  0.9691  1 Si 1.62
O  0.6674  0.1032  0.1110  1 Si 1.66
O  0.7468  0.4837  0.3835  1 Si 1.65
O  0.8104  0.9126  0.5471  1 Si 1.63
O  0.8968  0.3326  0.8890  1 Si 1.66

---

# 5
A geometry-optimized NaFeSi2O6 structure. Source: Alexandria via LeMat-Bulk, functional PBE with a Hubbard U.

Cell: 6.6234 6.6234 5.3656 Å, 102.98 102.98 84.46°
Last column: nearest neighbours and their distance in Å.
Fractional coordinates of all 20 atoms:
Na  0.2017  0.7983  0.7500  6 O 2.42-2.46
Na  0.7983  0.2017  0.2500  6 O 2.42-2.46
Fe  0.3990  0.6010  0.2500  6 O 1.96-2.14
Fe  0.6010  0.3990  0.7500  6 O 1.96-2.14
Si  0.1205  0.2992  0.7649  4 O 1.61-1.67
Si  0.2992  0.1205  0.2649  4 O 1.61-1.67
Si  0.7008  0.8795  0.7351  4 O 1.61-1.67
Si  0.8795  0.7008  0.2351  4 O 1.61-1.67
O  0.1142  0.6047  0.2997  1 Si 1.61
O  0.1432  0.1548  0.9858  2 Si 1.66-1.67
O  0.1548  0.1432  0.4858  2 Si 1.66-1.67
O  0.3070  0.4646  0.8619  1 Si 1.65
O  0.3953  0.8858  0.2003  1 Si 1.61
O  0.4646  0.3070  0.3619  1 Si 1.65
O  0.5354  0.6930  0.6381  1 Si 1.65
O  0.6047  0.1142  0.7997  1 Si 1.61
O  0.6930  0.5354  0.1381  1 Si 1.65
O  0.8452  0.8568  0.5142  2 Si 1.66-1.67
O  0.8568  0.8452  0.0142  2 Si 1.66-1.67
O  0.8858  0.3953  0.7003  1 Si 1.61

---

# 6
A geometry-optimized Na3Sm2FeO6 structure. Source: Alexandria via LeMat-Bulk, functional PBE with a Hubbard U.

Cell: 5.8650 5.8650 5.8892 Å, 99.17 99.17 120.23°
Last column: nearest neighbours and their distance in Å.
Fractional coordinates of all 12 atoms:
Na  0.0000  0.0000  0.0000  6 O 2.49-2.65
Na  0.3489  0.6511  0.0000  4 O 2.40-2.44
Na  0.6511  0.3489  0.0000  4 O 2.40-2.44
Sm  0.1674  0.8326  0.5000  6 O 2.35
Sm  0.8326  0.1674  0.5000  6 O 2.35
Fe  0.5000  0.5000  0.5000  6 O 2.13-2.14
O  0.1271  0.4318  0.2892  1 Fe 2.14, 2 Sm 2.35
O  0.2604  0.2604  0.7060  1 Fe 2.13, 2 Sm 2.35
O  0.4318  0.1271  0.2892  1 Fe 2.14, 2 Sm 2.35
O  0.5682  0.8729  0.7108  1 Fe 2.14, 2 Sm 2.35
O  0.7396  0.7396  0.2940  1 Fe 2.13, 2 Sm 2.35
O  0.8729  0.5682  0.7108  1 Fe 2.14, 2 Sm 2.35

---

# 7
A geometry-optimized Na2SmFeO4 structure. Source: Alexandria via LeMat-Bulk, functional PBE with a Hubbard U.

Cell: 5.6794 3.3346 5.8707 Å, 90.00 109.08 90.00°
Last column: nearest neighbours and their distance in Å.
Fractional coordinates of all 8 atoms:
Na  0.0000  0.0000  0.0000  6 O 2.55-2.63
Na  0.5000  0.5000  0.0000  6 O 2.41-2.44
Sm  0.0000  0.5000  0.5000  6 O 2.32
Fe  0.5000  0.0000  0.5000  6 O 2.08-2.19
O  0.2663  0.0000  0.7092  1 Fe 2.08, 2 Sm 2.32
O  0.2840  0.5000  0.2911  2 Fe 2.19, 1 Sm 2.32, 1 Na 2.41
O  0.7160  0.5000  0.7089  2 Fe 2.19, 1 Sm 2.32, 1 Na 2.41
O  0.7337  0.0000  0.2908  1 Fe 2.08, 2 Sm 2.32

---

# 8
A geometry-optimized Na4Sm3FeO8 structure. Source: Alexandria via LeMat-Bulk, functional PBE with a Hubbard U.

Cell: 6.8472 6.8472 6.8472 Å, 59.96 59.96 59.96°
Last column: nearest neighbours and their distance in Å.
Fractional coordinates of all 16 atoms:
Na  0.0000  0.0000  0.0000  6 O 2.66
Na  0.0000  0.5000  0.5000  6 O 2.51-2.53
Na  0.5000  0.0000  0.5000  6 O 2.51-2.53
Na  0.5000  0.5000  0.0000  6 O 2.51-2.53
Sm  0.0000  0.0000  0.5000  6 O 2.32-2.36
Sm  0.0000  0.5000  0.0000  6 O 2.32-2.36
Sm  0.5000  0.0000  0.0000  6 O 2.32-2.36
Fe  0.5000  0.5000  0.5000  6 O 2.18
O  0.2392  0.2392  0.2392  3 Sm 2.32, 3 Na 2.53
O  0.2595  0.7253  0.7253  1 Fe 2.18, 2 Sm 2.36
O  0.2747  0.2747  0.7405  1 Fe 2.18, 2 Sm 2.36
O  0.2747  0.7405  0.2747  1 Fe 2.18, 2 Sm 2.36
O  0.7253  0.2595  0.7253  1 Fe 2.18, 2 Sm 2.36
O  0.7253  0.7253  0.2595  1 Fe 2.18, 2 Sm 2.36
O  0.7405  0.2747  0.2747  1 Fe 2.18, 2 Sm 2.36
O  0.7608  0.7608  0.7608  3 Sm 2.32, 3 Na 2.53

---

# 9
A geometry-optimized NaSmFe4O12 structure. Source: Alexandria via LeMat-Bulk, functional PBE with a Hubbard U.

Cell: 5.3674 5.3674 7.6397 Å, 90.00 90.00 90.00°
Last column: nearest neighbours and their distance in Å.
Fractional coordinates of all 18 atoms:
Na  0.0000  0.0000  0.0000  12 O 2.68-2.81
Sm  0.5000  0.5000  0.5000  12 O 2.57-2.68
Fe  0.0000  0.5000  0.2451  6 O 1.87-1.95
Fe  0.0000  0.5000  0.7549  6 O 1.87-1.95
Fe  0.5000  0.0000  0.2451  6 O 1.87-1.95
Fe  0.5000  0.0000  0.7549  6 O 1.87-1.95
O  0.0000  0.5000  0.0000  2 Fe 1.87
O  0.0000  0.5000  0.5000  2 Fe 1.95
O  0.2589  0.2589  0.2638  2 Fe 1.90
O  0.2589  0.2589  0.7362  2 Fe 1.90
O  0.2589  0.7411  0.2638  2 Fe 1.90
O  0.2589  0.7411  0.7362  2 Fe 1.90
O  0.5000  0.0000  0.0000  2 Fe 1.87
O  0.5000  0.0000  0.5000  2 Fe 1.95
O  0.7411  0.2589  0.2638  2 Fe 1.90
O  0.7411  0.2589  0.7362  2 Fe 1.90
O  0.7411  0.7411  0.2638  2 Fe 1.90
O  0.7411  0.7411  0.7362  2 Fe 1.90

---

# 10
A geometry-optimized NaSrSmFeO6 structure. Source: Alexandria via LeMat-Bulk, functional PBE with a Hubbard U.

Cell: 5.8157 5.8157 5.8157 Å, 60.00 60.00 60.00°
Last column: nearest neighbours and their distance in Å.
Fractional coordinates of all 10 atoms:
Na  0.0000  0.0000  0.0000  12 O 2.91
Sr  0.5000  0.5000  0.5000  12 O 2.91
Sm  0.2500  0.2500  0.2500  6 O 2.25
Fe  0.7500  0.7500  0.7500  6 O 1.86
O  0.5237  0.5237  0.9763  1 Fe 1.86
O  0.5237  0.9763  0.5237  1 Fe 1.86
O  0.5237  0.9763  0.9763  1 Fe 1.86
O  0.9763  0.5237  0.5237  1 Fe 1.86
O  0.9763  0.5237  0.9763  1 Fe 1.86
O  0.9763  0.9763  0.5237  1 Fe 1.86

---

# 11
A geometry-optimized NaFeSnO4 structure. Source: Alexandria via LeMat-Bulk, functional PBE with a Hubbard U.

Cell: 3.1025 11.0298 9.3484 Å, 90.00 90.00 90.00°
Last column: nearest neighbours and their distance in Å.
Fractional coordinates of all 28 atoms:
Na  0.0000  0.0916  0.0000  8 O 2.44-2.62
Na  0.0000  0.9084  0.5000  8 O 2.44-2.62
Na  0.5000  0.3937  0.5122  5 O 2.41-2.54
Na  0.5000  0.6063  0.0122  5 O 2.41-2.54
Fe  0.5000  0.1430  0.6771  6 O 1.98-2.06
Fe  0.5000  0.3654  0.1902  6 O 2.05-2.08
Fe  0.5000  0.6346  0.6902  6 O 2.05-2.08
Fe  0.5000  0.8570  0.1771  6 O 1.98-2.06
Sn  0.0000  0.1371  0.3207  6 O 2.10-2.11
Sn  0.0000  0.3481  0.8371  6 O 2.08-2.12
Sn  0.0000  0.6519  0.3371  6 O 2.08-2.12
Sn  0.0000  0.8629  0.8207  6 O 2.10-2.11
O  0.0000  0.0363  0.7274  2 Fe 2.00, 1 Sn 2.10
O  0.0000  0.2551  0.6396  2 Fe 2.02, 1 Sn 2.11
O  0.0000  0.3276  0.3312  2 Fe 2.08, 1 Sn 2.10
O  0.0000  0.4033  0.0494  1 Sn 2.08, 2 Fe 2.08
O  0.0000  0.5967  0.5494  1 Sn 2.08, 2 Fe 2.08
O  0.0000  0.6724  0.8312  2 Fe 2.08, 1 Sn 2.10
O  0.0000  0.7449  0.1396  2 Fe 2.02, 1 Sn 2.11
O  0.0000  0.9637  0.2274  2 Fe 2.00, 1 Sn 2.10
O  0.5000  0.0936  0.4652  1 Fe 2.06, 2 Sn 2.11
O  0.5000  0.1790  0.1756  1 Fe 2.06, 2 Sn 2.11
O  0.5000  0.2204  0.8684  1 Fe 1.98, 2 Sn 2.12
O  0.5000  0.4618  0.7721  1 Fe 2.05, 2 Sn 2.08
O  0.5000  0.5382  0.2721  1 Fe 2.05, 2 Sn 2.08
O  0.5000  0.7796  0.3684  1 Fe 1.98, 2 Sn 2.12
O  0.5000  0.8210  0.6756  1 Fe 2.06, 2 Sn 2.11
O  0.5000  0.9064  0.9652  1 Fe 2.06, 2 Sn 2.11

---

# 12
A geometry-optimized Na3Fe2SnO6 structure. Source: Alexandria via LeMat-Bulk, functional PBE with a Hubbard U.

Cell: 5.4372 5.4372 5.7495 Å, 98.89 98.89 120.06°
Last column: nearest neighbours and their distance in Å.
Fractional coordinates of all 12 atoms:
Na  0.0000  0.0000  0.0000  6 O 2.41
Na  0.3284  0.6716  0.0000  6 O 2.42-2.44
Na  0.6716  0.3284  0.0000  6 O 2.42-2.44
Fe  0.1601  0.8399  0.5000  6 O 2.11-2.20
Fe  0.8399  0.1601  0.5000  6 O 2.11-2.20
Sn  0.5000  0.5000  0.5000  6 O 2.11-2.12
O  0.1001  0.4270  0.2975  2 Fe 2.11-2.20, 1 Sn 2.11
O  0.2438  0.2438  0.7141  1 Sn 2.12, 2 Fe 2.13
O  0.4270  0.1001  0.2975  2 Fe 2.11-2.20, 1 Sn 2.11
O  0.5730  0.8999  0.7025  2 Fe 2.11-2.20, 1 Sn 2.11
O  0.7562  0.7562  0.2859  1 Sn 2.12, 2 Fe 2.13
O  0.8999  0.5730  0.7025  2 Fe 2.11-2.20, 1 Sn 2.11

---

| no. | density of states at the Fermi level (states/eV/atom) | energy (eV per formula unit) |
| --- | --- | --- |
| 1 | 0.3116 | -40.54 |
| 2 | 0.0000 | -65.64 |
| 3 | 0.0000 | -63.31 |
| 4 | 0.4434 | -136.48 |
| 5 | 0.0000 | -71.24 |
| 6 | 0.0000 | -75.95 |
| 7 | 0.0000 | -49.20 |
| 8 | 0.0000 | -102.17 |
| 9 | 0.5316 | -107.20 |
| 10 | 0.3664 | -61.49 |
| 11 | 0.0000 | -41.32 |
| 12 | 0.0004 | -68.16 |